## KRbTl2Br4 (PBE)

Data for a geometry-optimized KRbTl2Br4 structure.

Calculated values
For the total energy, the calculation gives -0.1099 hartree per atom. The value obtained for the uncorrected formation energy is -1.30 eV/atom. The density of states at the Fermi level is 0.0 states/eV per cell.

abc: 8.3202 4.8126 8.3362
angles: 90.00 109.49 90.00
Space group P2/m (No. 10)
Symmetry-distinct sites (fractional):
K  0.0000  0.0000  0.0000 x1
Rb  0.0000  0.5000  0.5000 x1
Tl  0.5000  0.0000  0.5000 x1
Tl  0.5000  0.5000  0.0000 x1
Br  0.2489  0.5000  0.2434 x2
Br  0.2531  0.0000  0.7579 x2



## InSiO (PBE)

Data for a geometry-optimized InSiO structure.

Calculated values
For the total energy, the calculation gives -0.1789 hartree per atom. The value obtained for the uncorrected formation energy is -0.49 eV/atom. The density of states at the Fermi level is 3.8 states/eV per cell.

abc: 14.8219 2.8839 4.8281
angles: 90.00 90.00 90.00
Space group Amm2 (No. 38)
Symmetry-distinct sites (fractional):
In  0.1935  0.0000  0.0000 x4
Si  0.0000  0.0000  0.9991 x2
Si  0.5000  0.0000  0.8266 x2
O  0.4257  0.0000  0.5093 x4



## Ce3Sn2Pd7 (PBE)

Data for a geometry-optimized Ce3Sn2Pd7 structure.

Calculated values
For the total energy, the calculation gives -0.2165 hartree per atom. For the energy of formation, the calculation gives -0.711 eV/atom. The density of states at the Fermi level is 38.1 states/eV per cell.

abc: 4.2295 29.2876 4.0585
angles: 90.00 90.00 90.00
Space group Cmmm (No. 65)
Symmetry-distinct sites (fractional):
Ce  0.0000  0.0000  0.0000 x2
Ce  0.0000  0.1886  0.0000 x4
Sn  0.0000  0.3715  0.5000 x4
Pd  0.0000  0.0714  0.5000 x4
Pd  0.0000  0.2796  0.5000 x4
Pd  0.0000  0.4306  0.0000 x4
Pd  0.0000  0.5000  0.5000 x2